Crystalline Cs4Tl2Br at its relaxed geometry. Source: Alexandria via LeMat-Bulk, functional GGA-PBE.

a b c (Å): 6.7274 6.7274 23.1274
angles (deg): 90.00 90.00 90.00
Last column: nearest neighbours and their distance in Å.
Space group I4/mmm (No. 139)
Unique sites:
Cs: 0.0000 0.0000 0.1850 x4  1 Tl 3.97
Cs: 0.0000 0.5000 0.0000 x4  2 Br 3.36
Tl: 0.0000 0.0000 0.3566 x4  1 Br 3.32
Br: 0.0000 0.0000 0.5000 x2  2 Tl 3.32, 4 Cs 3.36

Results
crystal system = tetragonal
uncorrected formation energy = -259 meV/atom